No. 1
KZnIr2 | the Alexandria database | PBE | optimized geometry; DOS(E_F) = 1.09 states/eV per atom; formation energy = 0.2941 eV/atom; magnetization = 0.00 Bohr magnetons per cell; SG = Pmm2; uncorrected energy = -4.729 eV per atom
1.0
2.7647 0.0000 0.0000
0.0000 4.0122 0.0000
0.0000 0.0000 7.6241
K Zn Ir
1 1 2
Direct
0.0000 0.0000 0.0000
0.5000 0.5000 0.3327
0.0000 0.0000 0.5532
0.5000 0.5000 0.6667


No. 2
KZn2Ir | the Alexandria database | PBE | optimized geometry; DOS(E_F) = 0.31 states/eV per atom; formation energy = 0.0007 eV/atom; magnetization = 0.00 Bohr magnetons per cell; ΔE to the lowest computed polymorph = 0 meV per atom; SG = C2/m; uncorrected energy = -3.126 eV per atom
1.0
3.7733 -2.1770 0.0000
3.7733 2.1770 0.0000
-2.4960 0.0000 5.9592
K Zn Ir
1 2 1
Direct
0.0000 0.0000 0.0000
0.1883 0.1883 0.5655
0.8117 0.8117 0.4345
0.5000 0.5000 0.5000


No. 3
K3ZnIr | the Alexandria database | PBE | optimized geometry; DOS(E_F) = 0.93 states/eV per atom; formation energy = 0.7410 eV/atom; magnetization = 0.00 Bohr magnetons per cell; ΔE to the lowest computed polymorph = 0 meV per atom; SG = Pm-3m; uncorrected energy = -1.944 eV per atom
1.0
6.1353 0.0000 0.0000
0.0000 6.1353 0.0000
0.0000 0.0000 6.1353
K Zn Ir
3 1 1
Direct
0.0000 0.0000 0.5000
0.0000 0.5000 0.0000
0.5000 0.0000 0.0000
0.5000 0.5000 0.5000
0.0000 0.0000 0.0000